# 1
Entry from Alexandria: YMg6CdO8 after structural relaxation (PBE-GGA).

Calculated values
As for the uncorrected energy: -94.2 eV/cell. For the uncorrected formation energy, the calculation gives -2.352 eV per atom. For the magnetization, the calculation gives 0.00 Bohr magnetons per cell.

```
YMg6CdO8
1.0
-3.490 -2.230 1.763
2.812 -2.299 2.660
-0.850 6.439 6.463
Y O Mg Cd
1 8 6 1
Cartesian
0.000 0.000 0.000
-0.206 1.558 1.564
-0.975 2.552 7.046
0.981 2.070 4.561
-1.745 -1.115 0.881
-0.644 4.881 4.900
-2.170 2.104 4.113
1.406 -1.149 1.330
-0.553 -0.642 3.839
-2.370 3.622 5.637
-0.764 0.955 5.443
1.181 0.552 3.038
-1.970 0.587 2.590
-0.339 -2.264 2.211
0.781 3.588 6.085
-0.425 3.219 3.232
```

=====

# 2
Entry from Alexandria: Mg14ZnCdO16 after structural relaxation (PBE-GGA).

Calculated values
As for the uncorrected energy: -183.4 eV/cell. For the uncorrected formation energy, the calculation gives -2.485 eV per atom. For the magnetization, the calculation gives 0.00 Bohr magnetons per cell.

```
Mg14ZnCdO16
1.0
4.315 0.000 0.000
0.000 8.600 0.000
0.000 0.000 8.625
O Mg Cd Zn
16 14 1 1
Cartesian
2.158 0.000 4.313
2.158 4.300 4.313
0.000 4.300 6.338
2.158 4.300 0.000
2.158 0.000 0.000
2.158 6.448 2.148
2.158 2.152 6.477
0.000 0.000 6.402
0.000 6.569 0.000
0.000 2.136 4.313
0.000 0.000 2.223
2.158 2.152 2.148
2.158 6.448 6.477
0.000 6.463 4.313
0.000 2.030 0.000
0.000 4.300 2.287
2.158 4.300 6.423
2.158 2.099 0.000
0.000 2.125 2.181
2.158 4.300 2.202
0.000 6.474 6.444
0.000 4.300 4.313
2.158 0.000 6.463
2.158 6.456 4.313
0.000 6.474 2.181
0.000 2.125 6.444
2.158 2.143 4.313
2.158 6.501 0.000
0.000 0.000 4.313
2.158 0.000 2.162
0.000 4.300 0.000
0.000 0.000 0.000
```

=====

# 3
Entry from Alexandria: Mg30ZnCdO32 after structural relaxation (PBE-GGA).

Calculated values
As for the uncorrected energy: -374.9 eV/cell. For the uncorrected formation energy, the calculation gives -2.598 eV per atom. For the magnetization, the calculation gives 0.00 Bohr magnetons per cell.

```
Mg30ZnCdO32
1.0
-7.363 2.292 3.705
-2.088 -8.252 0.955
3.829 -0.082 7.662
O Mg Cd Zn
32 30 1 1
Cartesian
-2.672 1.125 3.872
-0.968 -3.595 5.233
-6.577 -2.404 3.261
-3.167 -0.401 8.767
-6.134 -4.496 5.406
-0.083 -4.147 2.401
-4.232 -1.029 2.104
-3.618 1.681 6.614
-5.087 -0.360 4.927
1.391 -2.112 4.071
1.824 -4.188 6.217
-5.220 -4.931 2.556
2.847 -0.061 5.697
-5.617 1.749 2.826
-3.761 -3.001 4.261
-1.746 0.544 0.879
-2.455 -5.641 3.555
0.084 0.529 4.752
-0.536 -5.682 7.395
-4.214 -4.537 9.246
-3.329 -5.068 6.398
-1.861 -3.041 8.061
0.350 -6.222 4.547
-0.862 1.086 7.494
-1.553 -6.136 0.710
-0.536 -2.116 0.245
-4.655 -2.447 7.089
0.511 -1.546 6.916
0.982 -0.021 1.965
-2.293 -0.974 5.924
-1.408 -1.505 3.076
-2.875 -3.556 1.399
-7.102 -4.442 3.502
-2.350 -1.518 1.158
-4.574 1.704 4.724
1.040 0.506 6.643
-1.767 1.105 5.683
-4.277 -5.045 4.499
-5.176 -4.509 7.327
2.349 -2.125 5.985
1.915 -0.041 3.831
-3.243 -0.956 4.026
-1.490 -5.656 5.472
-4.726 -2.980 2.330
0.870 -4.167 4.309
-0.609 -6.209 2.633
-3.383 -5.600 1.631
-5.611 -2.427 5.174
-0.012 -3.615 7.148
0.435 -2.084 2.155
-2.380 -5.086 8.296
-4.133 -0.386 6.850
-2.811 -3.021 6.161
-1.345 -0.997 7.823
1.306 -6.250 6.462
-1.925 -3.574 3.320
-2.679 1.664 8.514
-0.446 -1.533 4.995
-6.069 -0.360 3.029
-3.698 -2.468 9.002
-1.044 -4.126 0.478
-0.855 0.547 2.852
-3.682 1.146 1.852
0.000 0.000 0.000
```

=====

# 4
Entry from Alexandria: MgZnCdO3 after structural relaxation (PBE-GGA).

Calculated values
As for the uncorrected energy: -55.8 eV/cell. For the uncorrected formation energy, the calculation gives -1.541 eV per atom. For the magnetization, the calculation gives 0.00 Bohr magnetons per cell.

```
MgZnCdO3
1.0
3.038 0.000 0.000
0.000 5.959 0.438
0.000 -1.119 8.892
O Mg Zn Cd
6 2 2 2
Cartesian
0.759 2.694 8.181
2.278 2.146 1.149
2.278 4.751 2.191
0.759 0.089 7.139
0.759 4.133 5.321
2.278 0.708 4.009
0.759 3.644 1.304
2.278 1.197 8.025
0.759 0.429 5.219
2.278 4.411 4.111
0.759 0.702 2.086
2.278 4.138 7.244
```